<A>
Here is an optimized crystal structure of Ti3NiPt2 from Alexandria. Energies are from PBE.

Lattice parameters (Å, degrees): 3.815 3.952 11.856 90.00 90.00 90.00
Each line ends with the local moment (μB).
Element x y z (fractional)
1 Ti 0.500 0.500 0.662  0.19
2 Ti 0.500 0.000 0.500  0.15
3 Ti 0.500 0.500 0.338  0.19
4 Ti 0.500 0.000 0.162  0.19
5 Ti 0.500 0.500 0.000  0.15
6 Ti 0.500 0.000 0.838  0.19
7 Ni 0.000 0.500 0.500  0.02
8 Ni 0.000 0.000 0.000  0.02
9 Pt 0.000 0.000 0.663  0.00
10 Pt 0.000 0.000 0.337  0.00
11 Pt 0.000 0.500 0.163  0.00
12 Pt 0.000 0.500 0.837  0.00

Values from the calculation:
The crystal system is orthorhombic. Its calculated volume is 178.76 Å³/cell.

<B>
Here is an optimized crystal structure of Ti3NiPt2 from Alexandria. Energies are from PBE.

Lattice parameters (Å, degrees): 2.748 4.728 7.940 107.32 99.97 90.00
Element x y z (fractional)
1 Ti 0.000 0.500 0.000
2 Ti 0.825 0.825 0.651
3 Ti 0.175 0.175 0.349
4 Ni 0.000 0.000 0.000
5 Pt 0.652 0.652 0.305
6 Pt 0.348 0.348 0.695

Values from the calculation:
The crystal system is orthorhombic. Its calculated volume is 96.88 Å³/cell.

Most stable one: <A>, least stable one: <B>.

<A>
Here is an optimized crystal structure of Tm8NiPt2 from Alexandria. Energies are from PBE.

Lattice parameters (Å, degrees): 4.917 6.675 8.875 104.98 106.08 90.00
Element x y z (fractional)
1 Tm 0.408 0.552 0.816
2 Tm 0.663 0.969 0.327
3 Tm 0.795 0.684 0.590
4 Tm 0.969 0.213 0.938
5 Tm 0.205 0.316 0.410
6 Tm 0.337 0.031 0.673
7 Tm 0.592 0.448 0.184
8 Tm 0.031 0.787 0.062
9 Ni 0.500 0.000 0.000
10 Pt 0.811 0.280 0.623
11 Pt 0.189 0.720 0.377

Values from the calculation:
The crystal system is monoclinic. Its calculated volume is 269.53 Å³/cell.

<B>
Here is an optimized crystal structure of Tm8NiPt2 from Alexandria. Energies are from PBE.

Lattice parameters (Å, degrees): 5.894 7.475 7.475 112.09 100.85 100.85
Element x y z (fractional)
1 Tm 0.584 0.342 0.083
2 Tm 0.584 0.083 0.342
3 Tm 0.169 0.356 0.356
4 Tm 0.990 0.210 0.790
5 Tm 0.990 0.790 0.210
6 Tm 0.805 0.646 0.646
7 Tm 0.371 0.926 0.667
8 Tm 0.371 0.667 0.926
9 Ni 0.173 0.003 0.003
10 Pt 0.482 0.691 0.320
11 Pt 0.482 0.320 0.691

Values from the calculation:
The crystal system is monoclinic. Its calculated volume is 287.30 Å³/cell.

Most stable one: <A>, least stable one: <B>.

<A>
Here is an optimized crystal structure of Tm4Ni2Pt from Alexandria. Energies are from PBE.

Lattice parameters (Å, degrees): 7.221 7.500 7.217 110.65 107.01 109.15
Element x y z (fractional)
1 Tm 0.891 0.241 0.278
2 Tm 0.287 0.509 0.150
3 Tm 0.025 0.628 0.772
4 Tm 0.789 0.077 0.631
5 Tm 0.320 0.084 0.363
6 Tm 0.394 0.122 0.897
7 Tm 0.529 0.666 0.736
8 Tm 0.805 0.674 0.213
9 Ni 0.656 0.375 0.781
10 Ni 0.515 0.875 0.140
11 Ni 0.623 0.428 0.385
12 Ni 0.206 0.321 0.694
13 Pt 0.208 0.736 0.488
14 Pt 0.003 0.014 0.972

Values from the calculation:
The crystal system is monoclinic. Its calculated volume is 306.45 Å³/cell.

<B>
Here is an optimized crystal structure of Tm4Ni2Pt from Alexandria. Energies are from PBE.

Lattice parameters (Å, degrees): 4.744 4.744 8.185 73.15 73.15 60.00
Element x y z (fractional)
1 Tm 0.873 0.873 0.380
2 Tm 0.127 0.127 0.620
3 Tm 0.622 0.622 0.133
4 Tm 0.378 0.378 0.867
5 Ni 0.750 0.750 0.750
6 Ni 0.250 0.250 0.250
7 Pt 0.000 0.000 0.000

Values from the calculation:
The crystal system is trigonal. Its calculated volume is 150.34 Å³/cell.

Most stable one: <A>, least stable one: <B>.

<A>
Here is an optimized crystal structure of Tm8Ni2Pt from Alexandria. Energies are from PBE.

Lattice parameters (Å, degrees): 4.932 6.530 8.861 104.60 106.16 90.00
Element x y z (fractional)
1 Tm 0.409 0.549 0.817
2 Tm 0.671 0.981 0.342
3 Tm 0.796 0.668 0.591
4 Tm 0.963 0.213 0.925
5 Tm 0.204 0.332 0.409
6 Tm 0.329 0.019 0.658
7 Tm 0.591 0.451 0.183
8 Tm 0.037 0.787 0.075
9 Ni 0.812 0.274 0.625
10 Ni 0.188 0.726 0.375
11 Pt 0.500 0.000 0.000

Values from the calculation:
The crystal system is monoclinic. Its calculated volume is 264.53 Å³/cell.

<B>
Here is an optimized crystal structure of Tm8Ni2Pt from Alexandria. Energies are from PBE.

Lattice parameters (Å, degrees): 5.760 7.422 7.422 113.13 99.82 99.82
Element x y z (fractional)
1 Tm 0.579 0.342 0.081
2 Tm 0.579 0.081 0.342
3 Tm 0.170 0.367 0.367
4 Tm 0.988 0.223 0.783
5 Tm 0.988 0.783 0.223
6 Tm 0.806 0.637 0.637
7 Tm 0.386 0.926 0.665
8 Tm 0.386 0.665 0.926
9 Ni 0.488 0.696 0.312
10 Ni 0.488 0.312 0.696
11 Pt 0.141 0.002 0.002

Values from the calculation:
The crystal system is monoclinic. Its calculated volume is 277.50 Å³/cell.

Most stable one: <A>, least stable one: <B>.

<A>
Here is an optimized crystal structure of UNi2Pt6 from Alexandria. Energies are from PBE.

Lattice parameters (Å, degrees): 4.010 4.920 8.325 72.13 90.00 114.05
Element x y z (fractional)
1 U 0.000 0.000 0.500
2 Ni 0.329 0.658 0.723
3 Ni 0.671 0.342 0.277
4 Pt 0.665 0.330 0.948
5 Pt 0.335 0.670 0.052
6 Pt 0.007 0.013 0.173
7 Pt 0.337 0.673 0.385
8 Pt 0.993 0.987 0.827
9 Pt 0.663 0.327 0.615

Values from the calculation:
The crystal system is monoclinic. Its calculated volume is 141.27 Å³/cell.

<B>
Here is an optimized crystal structure of UNi2Pt6 from Alexandria. Energies are from PBE.

Lattice parameters (Å, degrees): 4.642 5.395 6.686 84.52 69.69 64.52
Element x y z (fractional)
1 U 0.000 0.500 0.500
2 Ni 0.308 0.619 0.765
3 Ni 0.692 0.381 0.235
4 Pt 0.669 0.736 0.926
5 Pt 0.331 0.264 0.074
6 Pt 0.999 0.830 0.171
7 Pt 0.352 0.887 0.409
8 Pt 0.001 0.170 0.829
9 Pt 0.648 0.113 0.591

Values from the calculation:
The crystal system is monoclinic. Its calculated volume is 141.47 Å³/cell.

Most stable one: <A>, least stable one: <B>.

<A>
Here is an optimized crystal structure of UNi2Pt2 from Alexandria. Energies are from PBE.

Lattice parameters (Å, degrees): 4.044 4.044 5.417 89.99 89.99 108.83
Each line ends with the local moment (μB).
Element x y z (fractional)
1 U 0.000 0.000 0.000  1.53
2 Ni 0.828 0.172 0.500  -0.19
3 Ni 0.172 0.828 0.500  -0.19
4 Pt 0.500 0.500 0.747  -0.09
5 Pt 0.500 0.500 0.253  -0.09

Values from the calculation:
The crystal system is orthorhombic. Its calculated volume is 83.84 Å³/cell.

<B>
Here is an optimized crystal structure of UNi2Pt2 from Alexandria. Energies are from PBE.

Lattice parameters (Å, degrees): 3.250 3.250 9.180 100.20 100.20 90.00
Each line ends with the local moment (μB).
Element x y z (fractional)
1 U 0.000 0.000 0.000  1.68
2 Ni 0.250 0.750 0.500  -0.39
3 Ni 0.750 0.250 0.500  -0.39
4 Pt 0.138 0.138 0.275  -0.10
5 Pt 0.862 0.862 0.725  -0.10

Values from the calculation:
The crystal system is tetragonal. Its calculated volume is 93.90 Å³/cell.

Most stable one: <A>, least stable one: <B>.